The following is a PBE+U calculation of a relaxed structure of Li5NiO4, from the Alexandria database.

a b c (Å): 9.137 9.216 9.250
angles (deg): 90.00 90.00 90.00
Last column: magnetic moment on the atom in μB.
Atoms (fractional coordinates):
Li  0.857  0.387  0.109  0.00
Li  0.357  0.113  0.109  0.00
Li  0.159  0.891  0.118  0.00
Li  0.659  0.609  0.118  0.00
Li  0.626  0.148  0.119  0.01
Li  0.126  0.352  0.119  0.01
Li  0.896  0.124  0.147  0.00
Li  0.396  0.376  0.147  0.00
Li  0.605  0.881  0.156  0.01
Li  0.105  0.619  0.156  0.01
Li  0.105  0.119  0.344  0.01
Li  0.605  0.381  0.344  0.01
Li  0.896  0.624  0.353  0.00
Li  0.396  0.876  0.353  0.00
Li  0.626  0.648  0.381  0.01
Li  0.126  0.852  0.381  0.01
Li  0.659  0.109  0.382  0.00
Li  0.159  0.391  0.382  0.00
Li  0.857  0.887  0.391  0.00
Li  0.357  0.613  0.391  0.00
Li  0.643  0.387  0.609  0.00
Li  0.143  0.113  0.609  0.00
Li  0.341  0.891  0.618  0.00
Li  0.841  0.609  0.618  0.00
Li  0.374  0.352  0.619  0.01
Li  0.874  0.148  0.619  0.01
Li  0.104  0.376  0.647  0.00
Li  0.604  0.124  0.647  0.00
Li  0.895  0.881  0.656  0.01
Li  0.395  0.619  0.656  0.01
Li  0.895  0.381  0.844  0.01
Li  0.395  0.119  0.844  0.01
Li  0.604  0.624  0.853  0.00
Li  0.104  0.876  0.853  0.00
Li  0.374  0.852  0.881  0.01
Li  0.874  0.648  0.881  0.01
Li  0.341  0.391  0.882  0.00
Li  0.841  0.109  0.882  0.00
Li  0.643  0.887  0.891  0.00
Li  0.143  0.613  0.891  0.00
Ni  0.882  0.853  0.118  2.01
Ni  0.382  0.647  0.118  2.01
Ni  0.882  0.353  0.382  2.01
Ni  0.382  0.147  0.382  2.01
Ni  0.618  0.853  0.618  2.01
Ni  0.118  0.647  0.618  2.01
Ni  0.618  0.353  0.882  2.01
Ni  0.118  0.147  0.882  2.01
O  0.514  0.748  0.006  0.19
O  0.014  0.752  0.006  0.19
O  0.756  0.992  0.035  0.18
O  0.256  0.508  0.035  0.18
O  0.999  0.966  0.246  0.19
O  0.499  0.534  0.246  0.19
O  0.761  0.751  0.246  0.19
O  0.261  0.749  0.246  0.19
O  0.761  0.251  0.254  0.19
O  0.261  0.249  0.254  0.19
O  0.999  0.466  0.254  0.19
O  0.499  0.034  0.254  0.19
O  0.756  0.492  0.465  0.18
O  0.256  0.008  0.465  0.18
O  0.514  0.248  0.494  0.19
O  0.014  0.252  0.494  0.19
O  0.986  0.748  0.506  0.19
O  0.486  0.752  0.506  0.19
O  0.744  0.992  0.535  0.18
O  0.244  0.508  0.535  0.18
O  0.501  0.966  0.746  0.19
O  0.001  0.534  0.746  0.19
O  0.739  0.751  0.746  0.19
O  0.239  0.749  0.746  0.19
O  0.739  0.251  0.754  0.19
O  0.239  0.249  0.754  0.19
O  0.501  0.466  0.754  0.19
O  0.001  0.034  0.754  0.19
O  0.244  0.008  0.965  0.18
O  0.744  0.492  0.965  0.18
O  0.986  0.248  0.994  0.19
O  0.486  0.252  0.994  0.19

- E_tot (eV per atom) = -4.797
- SG = Pbca (61)